# 1
# CaSb2PC PBE-GGA optimized geometry
# calculated total energy = -4.48 eV/atom
# density = 5.16 Mg/m³
# raw formation energy = 494.4 meV per atom
# DOS at the Fermi energy = 2.74 states/eV per cell
data_CaSb2PC
_chemical_formula_sum 'Ca1 Sb2 P1 C1'
_cell_length_a 5.259
_cell_length_b 5.259
_cell_length_c 3.801
_cell_angle_alpha 90.00
_cell_angle_beta 90.00
_cell_angle_gamma 90.00
_symmetry_space_group_name_H-M 'P 4/m m m'
_symmetry_Int_Tables_number 123
_symmetry_space_group_name_Hall '-P 4 2'
loop_
_atom_site_label
_atom_site_type_symbol
_atom_site_fract_x
_atom_site_fract_y
_atom_site_fract_z
Ca1 Ca 0.000 0.000 0.000
Sb1 Sb 0.000 0.500 0.500
P1 P 0.500 0.500 0.000
C1 C 0.500 0.500 0.500

---

# 2
# CaSnP2C PBE-GGA optimized geometry
# calculated total energy = -4.25 eV/atom
# density = 3.41 Mg/m³
# formation enthalpy at 0 K = 0.96 eV per atom
# DOS at the Fermi energy = 5.67 states/eV per cell
data_CaSnP2C
_chemical_formula_sum 'Ca1 Sn1 P2 C1'
_cell_length_a 5.171
_cell_length_b 5.171
_cell_length_c 4.242
_cell_angle_alpha 90.00
_cell_angle_beta 90.00
_cell_angle_gamma 90.00
_symmetry_space_group_name_H-M 'P 4/m m m'
_symmetry_Int_Tables_number 123
_symmetry_space_group_name_Hall '-P 4 2'
loop_
_atom_site_label
_atom_site_type_symbol
_atom_site_fract_x
_atom_site_fract_y
_atom_site_fract_z
Ca1 Ca 0.000 0.000 0.000
Sn1 Sn 0.500 0.500 0.500
P1 P 0.000 0.500 0.500
C1 C 0.500 0.500 0.000